Record 1
The following is a PBE calculation of ThZn11 after structural relaxation, from Alexandria via LeMat-Bulk.

DFT formation energy = -0.92 eV per formula unit
total moment = 0.00 μB per atom
crystal system = orthorhombic
polymorph energy (0 for the lowest one) = 94 meV per atom

a b c (Å): 4.3310 5.2029 9.2242
angles (deg): 90.00 90.00 90.00
With the nearest neighbours (Å) after each atom.
Space group Pmmm (No. 47)
Inequivalent atoms, fractional coordinates:
Th 0.0000 0.0000 0.0000 (multiplicity 1)  18 Zn 3.24-3.38
Zn 0.0000 0.0000 0.3509 (multiplicity 2)  7 Zn 2.57-2.75
Zn 0.0000 0.5000 0.2132 (multiplicity 2)  5 Zn 2.56-2.65
Zn 0.0000 0.5000 0.5000 (multiplicity 1)  6 Zn 2.65-2.94
Zn 0.5000 0.0000 0.5000 (multiplicity 1)  8 Zn 2.57-2.74
Zn 0.5000 0.2394 0.2359 (multiplicity 4)  8 Zn 2.49-2.74
Zn 0.5000 0.5000 0.0000 (multiplicity 1)  4 Zn 2.56


Record 2
The following is a PBE calculation of ThZn3 after structural relaxation, from Alexandria via LeMat-Bulk.

DFT formation energy = -0.30 eV per formula unit
total moment = 0.00 μB per atom
crystal system = orthorhombic

a b c (Å): 4.1006 4.4089 4.7397
angles (deg): 90.00 90.00 90.00
With the nearest neighbours (Å) after each atom.
Space group Pmm2 (No. 25)
Inequivalent atoms, fractional coordinates:
Th 0.0000 0.0000 0.0000 (multiplicity 1)  12 Zn 3.09-3.30
Zn 0.0000 0.5000 0.5175 (multiplicity 1)  6 Zn 2.70-3.01
Zn 0.5000 0.0000 0.4989 (multiplicity 1)  6 Zn 2.77-3.01
Zn 0.5000 0.5000 0.1461 (multiplicity 1)  4 Zn 2.70-2.77


Record 3
The following is a PBE calculation of ThZr4Zn5 after structural relaxation, from Alexandria via LeMat-Bulk.

DFT formation energy = -2.41 eV per formula unit
total moment = 0.00 μB per atom
crystal system = tetragonal

a b c (Å): 3.3951 3.3951 17.1806
angles (deg): 90.00 90.00 90.00
With the nearest neighbours (Å) after each atom.
Space group P4/mmm (No. 123)
Inequivalent atoms, fractional coordinates:
Th 0.0000 0.0000 0.0000 (multiplicity 1)  8 Zn 3.20, 4 Th 3.40
Zr 0.0000 0.0000 0.2134 (multiplicity 2)  8 Zn 2.86-2.92
Zr 0.0000 0.0000 0.4047 (multiplicity 2)  8 Zn 2.90-2.91
Zn 0.5000 0.5000 0.1228 (multiplicity 2)  4 Zr 2.86, 4 Th 3.20
Zn 0.5000 0.5000 0.3098 (multiplicity 2)  8 Zr 2.90-2.92, 1 Zn 3.21
Zn 0.5000 0.5000 0.5000 (multiplicity 1)  8 Zr 2.91


Record 4
The following is a PBE calculation of ThZrZn2 after structural relaxation, from Alexandria via LeMat-Bulk.

DFT formation energy = -0.78 eV per formula unit
total moment = 0.00 μB per atom
crystal system = tetragonal

a b c (Å): 3.4847 3.4847 7.1004
angles (deg): 90.00 90.00 90.00
With the nearest neighbours (Å) after each atom.
Space group P4/mmm (No. 123)
Inequivalent atoms, fractional coordinates:
Th 0.0000 0.0000 0.0000 (multiplicity 1)  8 Zn 3.20, 4 Th 3.48, 2 Zr 3.55
Zr 0.0000 0.0000 0.5000 (multiplicity 1)  8 Zn 2.89
Zn 0.5000 0.5000 0.2885 (multiplicity 2)  4 Zr 2.89, 1 Zn 3.00, 4 Th 3.20


Record 5
The following is a PBE calculation of ThZrZn after structural relaxation, from Alexandria via LeMat-Bulk.

DFT formation energy = 0.19 eV per formula unit
total moment = 0.00 μB per atom
crystal system = hexagonal
polymorph energy (0 for the lowest one) = 129 meV per atom

a b c (Å): 4.9822 4.9822 3.3911
angles (deg): 90.00 90.00 120.00
With the nearest neighbours (Å) after each atom.
Space group P-6m2 (No. 187)
Inequivalent atoms, fractional coordinates:
Th 0.0000 0.0000 0.0000 (multiplicity 1)  6 Zn 3.34, 6 Zr 3.34, 2 Th 3.39
Zr 0.3333 0.6667 0.5000 (multiplicity 1)  3 Zn 2.88
Zn 0.6667 0.3333 0.5000 (multiplicity 1)  3 Zr 2.88


Record 6
The following is a PBE calculation of ThZr2Zn6 after structural relaxation, from Alexandria via LeMat-Bulk.

DFT formation energy = -1.46 eV per formula unit
total moment = 0.00 μB per atom
crystal system = orthorhombic

a b c (Å): 3.3683 7.7774 13.2476
angles (deg): 90.00 90.00 90.00
With the nearest neighbours (Å) after each atom.
Space group Immm (No. 71)
Inequivalent atoms, fractional coordinates:
Th 0.0000 0.0000 0.0000 (multiplicity 2)  12 Zn 3.10-3.22, 2 Th 3.37
Zr 0.0000 0.5000 0.1445 (multiplicity 4)  10 Zn 2.80-2.98
Zn 0.0000 0.1648 0.5000 (multiplicity 4)  3 Zn 2.56-2.59, 4 Zr 2.85
Zn 0.0000 0.3120 0.3246 (multiplicity 8)  3 Zn 2.59-2.77, 1 Zr 2.80


Record 7
The following is a PBE calculation of ThZrZn17 after structural relaxation, from Alexandria via LeMat-Bulk.

DFT formation energy = -3.09 eV per formula unit
total moment = 0.00 μB per atom
crystal system = trigonal

a b c (Å): 8.9674 8.9674 13.0617
angles (deg): 90.00 90.00 120.00
With the nearest neighbours (Å) after each atom.
Space group R3m (No. 160, hexagonal axes)
Inequivalent atoms, fractional coordinates:
Th 0.0000 0.0000 0.0000 (multiplicity 3)  19 Zn 3.17-3.42
Zr 0.0000 0.0000 0.3293 (multiplicity 3)  13 Zn 2.98-3.23
Zn 0.0000 0.0000 0.5576 (multiplicity 3)  7 Zn 2.61-2.77
Zn 0.0000 0.0000 0.7573 (multiplicity 3)  4 Zn 2.61-2.70
Zn 0.0391 0.3680 0.3298 (multiplicity 18)  8 Zn 2.57-2.79
Zn 0.1675 0.3351 0.1455 (multiplicity 9)  9 Zn 2.55-2.77
Zn 0.1716 0.3432 0.4988 (multiplicity 9)  10 Zn 2.57-2.77
Zn 0.1781 0.3562 0.8458 (multiplicity 9)  8 Zn 2.55-2.79


Record 8
The following is a PBE calculation of ThZrZn10 after structural relaxation, from Alexandria via LeMat-Bulk.

DFT formation energy = -2.07 eV per formula unit
total moment = 0.00 μB per atom
crystal system = orthorhombic

a b c (Å): 4.1836 5.3287 9.1054
angles (deg): 90.00 90.00 90.00
With the nearest neighbours (Å) after each atom.
Space group Pmmm (No. 47)
Inequivalent atoms, fractional coordinates:
Th 0.0000 0.0000 0.0000 (multiplicity 1)  18 Zn 3.13-3.41
Zr 0.0000 0.5000 0.5000 (multiplicity 1)  6 Zn 2.91-3.01
Zn 0.0000 0.0000 0.3465 (multiplicity 2)  7 Zn 2.52-2.80
Zn 0.0000 0.5000 0.1801 (multiplicity 2)  6 Zn 2.57-2.66
Zn 0.5000 0.0000 0.5000 (multiplicity 1)  8 Zn 2.52-2.59
Zn 0.5000 0.2527 0.2564 (multiplicity 4)  8 Zn 2.57-2.69
Zn 0.5000 0.5000 0.0000 (multiplicity 1)  8 Zn 2.66-2.68


Record 9
The following is a PBE calculation of ThZrZn after structural relaxation, from Alexandria via LeMat-Bulk.

DFT formation energy = -0.19 eV per formula unit
total moment = 0.00 μB per atom
crystal system = orthorhombic
polymorph energy (0 for the lowest one) = 1 meV per atom

a b c (Å): 13.4080 4.1765 7.7601
angles (deg): 90.00 90.00 90.00
With the nearest neighbours (Å) after each atom.
Space group Pmma (No. 51)
Inequivalent atoms, fractional coordinates:
Th 0.0436 0.0000 0.2477 (multiplicity 4)  5 Zn 3.14-3.22, 6 Zr 3.32-3.49
Th 0.2500 0.0000 0.6556 (multiplicity 2)  5 Zn 3.08-3.10
Zr 0.1168 0.5000 0.9393 (multiplicity 4)  3 Zn 2.89-3.02
Zr 0.2500 0.5000 0.2975 (multiplicity 2)  4 Zn 2.81-2.90
Zn 0.0916 0.5000 0.5527 (multiplicity 4)  1 Zn 2.59
Zn 0.2500 0.0000 0.0552 (multiplicity 2)  6 Zr 2.81-2.89, 3 Th 3.10-3.14


Record 10
The following is a PBE calculation of ThZrZn after structural relaxation, from Alexandria via LeMat-Bulk.

DFT formation energy = -0.20 eV per formula unit
total moment = 0.00 μB per atom
crystal system = tetragonal
polymorph energy (0 for the lowest one) = 0 meV per atom

a b c (Å): 3.3501 3.3501 12.7537
angles (deg): 90.00 90.00 90.00
With the nearest neighbours (Å) after each atom.
Space group I4mm (No. 107)
Inequivalent atoms, fractional coordinates:
Th 0.0000 0.0000 0.0000 (multiplicity 2)  4 Zn 3.25, 4 Th 3.35, 4 Zr 3.43
Zr 0.0000 0.0000 0.3059 (multiplicity 2)  4 Zn 2.90
Zn 0.0000 0.0000 0.6746 (multiplicity 2)  4 Zr 2.90


Record 11
The following is a PBE calculation of Th2ZrZn6 after structural relaxation, from Alexandria via LeMat-Bulk.

DFT formation energy = -2.18 eV per formula unit
total moment = 0.00 μB per atom
crystal system = hexagonal

a b c (Å): 7.8495 7.8495 3.4051
angles (deg): 90.00 90.00 120.00
With the nearest neighbours (Å) after each atom.
Space group P6/mmm (No. 191)
Inequivalent atoms, fractional coordinates:
Th 0.3333 0.6667 0.0000 (multiplicity 2)  12 Zn 3.16, 2 Th 3.41
Zr 0.0000 0.0000 0.0000 (multiplicity 1)  12 Zn 3.04, 2 Zr 3.41
Zn 0.0000 0.3214 0.5000 (multiplicity 6)  3 Zn 2.52-2.80


Record 12
The following is a PBE calculation of ThZr3 after structural relaxation, from Alexandria via LeMat-Bulk.

DFT formation energy = 0.28 eV per formula unit
total moment = 0.00 μB per atom
crystal system = hexagonal
polymorph energy (0 for the lowest one) = 8 meV per atom

a b c (Å): 3.3091 3.3091 10.7419
angles (deg): 90.00 90.00 120.00
With the nearest neighbours (Å) after each atom.
Space group P-6m2 (No. 187)
Inequivalent atoms, fractional coordinates:
Th 0.0000 0.0000 0.0000 (multiplicity 1)  6 Th 3.31, 6 Zr 3.42
Zr 0.0000 0.0000 0.5000 (multiplicity 1)  12 Zr 3.18-3.31
Zr 0.6667 0.3333 0.2638 (multiplicity 2)  9 Zr 3.18-3.31, 3 Th 3.42


Record 13
The following is a PBE calculation of Th5Zr after structural relaxation, from Alexandria via LeMat-Bulk.

DFT formation energy = 0.27 eV per formula unit
total moment = 0.00 μB per atom
crystal system = tetragonal
polymorph energy (0 for the lowest one) = 0 meV per atom

a b c (Å): 3.5577 3.5577 14.4822
angles (deg): 90.00 90.00 90.00
With the nearest neighbours (Å) after each atom.
Space group P4/mmm (No. 123)
Inequivalent atoms, fractional coordinates:
Th 0.0000 0.0000 0.0000 (multiplicity 1)  12 Th 3.54-3.56
Th 0.0000 0.0000 0.3439 (multiplicity 2)  4 Zr 3.38, 8 Th 3.54-3.56
Th 0.5000 0.5000 0.1722 (multiplicity 2)  12 Th 3.54-3.56
Zr 0.5000 0.5000 0.5000 (multiplicity 1)  8 Th 3.38, 4 Zr 3.56


Record 14
The following is a PBE calculation of ThZr3 after structural relaxation, from Alexandria via LeMat-Bulk.

DFT formation energy = 0.42 eV per formula unit
total moment = 0.00 μB per atom
crystal system = orthorhombic
polymorph energy (0 for the lowest one) = 42 meV per atom

a b c (Å): 3.2414 10.8791 5.7412
angles (deg): 90.00 90.00 90.00
With the nearest neighbours (Å) after each atom.
Space group Imm2 (No. 44)
Inequivalent atoms, fractional coordinates:
Th 0.0000 0.0000 0.0000 (multiplicity 2)  10 Zr 3.11-3.46, 2 Th 3.24
Zr 0.0000 0.2422 0.2884 (multiplicity 4)  3 Th 3.11-3.46, 9 Zr 3.23-3.34
Zr 0.0000 0.5000 0.0098 (multiplicity 2)  8 Zr 3.23-3.34, 4 Th 3.25-3.35


Record 15
The following is a PBE calculation of ThZr3 after structural relaxation, from Alexandria via LeMat-Bulk.

DFT formation energy = 0.40 eV per formula unit
total moment = 0.00 μB per atom
crystal system = cubic
polymorph energy (0 for the lowest one) = 38 meV per atom

a b c (Å): 7.3511 7.3511 7.3511
angles (deg): 90.00 90.00 90.00
With the nearest neighbours (Å) after each atom.
Space group Fm-3m (No. 225)
Inequivalent atoms, fractional coordinates:
Th 0.0000 0.0000 0.0000 (multiplicity 4)  8 Zr 3.18
Zr 0.0000 0.0000 0.5000 (multiplicity 4)  8 Zr 3.18
Zr 0.2500 0.2500 0.2500 (multiplicity 8)  4 Zr 3.18, 4 Th 3.18


Record 16
The following is a PBE calculation of ThZr6 after structural relaxation, from Alexandria via LeMat-Bulk.

DFT formation energy = 12.09 eV per formula unit
total moment = 0.00 μB per atom
crystal system = cubic

a b c (Å): 7.5076 7.5076 7.5076
angles (deg): 90.00 90.00 90.00
With the nearest neighbours (Å) after each atom.
Space group Im-3m (No. 229)
Inequivalent atoms, fractional coordinates:
Th 0.0000 0.0000 0.0000 (multiplicity 2)  24 Zr 4.20
Zr 0.0000 0.2500 0.5000 (multiplicity 12)  4 Zr 2.65


Record 17
The following is a PBE calculation of ThZr4 after structural relaxation, from Alexandria via LeMat-Bulk.

DFT formation energy = 0.25 eV per formula unit
total moment = 0.00 μB per atom
crystal system = tetragonal
polymorph energy (0 for the lowest one) = 0 meV per atom

a b c (Å): 7.3217 7.3217 4.6259
angles (deg): 90.00 90.00 90.00
With the nearest neighbours (Å) after each atom.
Space group I4/m (No. 87)
Inequivalent atoms, fractional coordinates:
Th 0.0000 0.0000 0.0000 (multiplicity 2)  12 Zr 3.29-3.31
Zr 0.0917 0.3065 0.5000 (multiplicity 8)  9 Zr 3.14-3.38, 3 Th 3.29-3.31


Record 18
The following is a PBE calculation of Th5Zr after structural relaxation, from Alexandria via LeMat-Bulk.

DFT formation energy = 0.70 eV per formula unit
total moment = 0.00 μB per atom
crystal system = orthorhombic
polymorph energy (0 for the lowest one) = 72 meV per atom

a b c (Å): 5.9025 17.6900 3.5304
angles (deg): 90.00 90.00 90.00
With the nearest neighbours (Å) after each atom.
Space group Cmmm (No. 65)
Inequivalent atoms, fractional coordinates:
Th 0.0000 0.0000 0.0000 (multiplicity 2)  4 Zr 3.44, 6 Th 3.52-3.53
Th 0.0000 0.1721 0.5000 (multiplicity 4)  10 Th 3.45-3.53
Th 0.0000 0.3428 0.0000 (multiplicity 4)  2 Zr 3.29, 8 Th 3.45-3.53
Zr 0.0000 0.5000 0.5000 (multiplicity 2)  8 Th 3.29-3.44, 2 Zr 3.53


Record 19
The following is a PBE calculation of Th2Zr after structural relaxation, from Alexandria via LeMat-Bulk.

DFT formation energy = 0.24 eV per formula unit
total moment = 0.00 μB per atom
crystal system = tetragonal
polymorph energy (0 for the lowest one) = 0 meV per atom

a b c (Å): 3.5032 3.5032 14.2085
angles (deg): 90.00 90.00 90.00
With the nearest neighbours (Å) after each atom.
Space group I4/mmm (No. 139)
Inequivalent atoms, fractional coordinates:
Th 0.0000 0.0000 0.1619 (multiplicity 4)  4 Zr 3.38, 8 Th 3.50-3.52
Zr 0.0000 0.0000 0.5000 (multiplicity 2)  8 Th 3.38, 4 Zr 3.50


Record 20
The following is a PBE calculation of ThZr3 after structural relaxation, from Alexandria via LeMat-Bulk.

DFT formation energy = 0.29 eV per formula unit
total moment = 0.00 μB per atom
crystal system = hexagonal
polymorph energy (0 for the lowest one) = 11 meV per atom

a b c (Å): 6.6126 6.6126 5.4135
angles (deg): 90.00 90.00 120.00
With the nearest neighbours (Å) after each atom.
Space group P6_3/mmc (No. 194)
Inequivalent atoms, fractional coordinates:
Th 0.3333 0.6667 0.2500 (multiplicity 2)  12 Zr 3.31-3.38
Zr 0.1567 0.3135 0.7500 (multiplicity 6)  6 Zr 3.11-3.25, 4 Th 3.31-3.38